Compound: Sm2GdCd3Pt2Au
Source: OQMD
Functional: PBE
Structure: optimized geometry

The calculation puts the theoretical density at 11.17 g/cm3. As for the formation enthalpy at 0 K: -812 meV/atom. As for the calculated volume: 22.831 Å³/atom.

Cell lengths 3.9531, 7.7437, 7.7437 Å; angles 119.91, 90.00, 90.00 degrees
With the nearest neighbours (Å) after each atom.
Sites, in units of the cell vectors:
Sm (0.0000, 0.2051, 0.7949)  4 Pt 3.07-3.08, 1 Au 3.18, 6 Cd 3.23-3.42
Sm (0.0000, 0.7949, 0.2051)  4 Pt 3.07-3.08, 1 Au 3.18, 6 Cd 3.23-3.42
Gd (0.0000, 0.3850, 0.3850)  4 Pt 3.05, 1 Au 3.17, 6 Cd 3.23-3.42
Cd (0.5000, 0.0560, 0.0560)  2 Au 2.84, 2 Pt 2.90
Cd (0.5000, 0.5343, 0.7951)  2 Au 2.82, 2 Pt 2.90-2.92
Cd (0.5000, 0.7951, 0.5343)  2 Au 2.82, 2 Pt 2.90-2.92
Pt (0.5000, 0.1306, 0.4615)  3 Cd 2.90-2.92, 2 Gd 3.05, 4 Sm 3.07-3.08
Pt (0.5000, 0.4615, 0.1306)  3 Cd 2.90-2.92, 2 Gd 3.05, 4 Sm 3.07-3.08
Au (0.0000, 0.7937, 0.7937)  6 Cd 2.82-2.84


Compound: SrPu
Source: OQMD
Functional: PBE
Structure: optimized geometry

The calculation puts the theoretical density at 4.87 g/cm3. As for the calculated volume: 56.526 Å³/atom. The energy relative to the lowest polymorph listed for this composition is 1.3357 eV/atom.

Cell lengths 5.4275, 5.4275, 5.4275 Å; angles 60.00, 60.00, 60.00 degrees
With the nearest neighbours (Å) after each atom.
Sites, in units of the cell vectors:
Sr (0.0000, 0.0000, 0.0000)  4 Pu 3.32
Pu (0.2500, 0.2500, 0.2500)  4 Sr 3.32


Compound: Li2ZnGe
Source: OQMD
Functional: PBE
Structure: optimized geometry

The calculation puts the raw total energy at -11.1 eV/f.u. The calculation puts the theoretical density at 3.92 g/cm3. As for the calculated volume: 16.083 Å³/atom.

Cell lengths 4.2722, 4.2722, 8.1397 Å; angles 90.00, 90.00, 120.00 degrees
With the nearest neighbours (Å) after each atom.
Sites, in units of the cell vectors:
Li (0.3333, 0.6667, 0.0824)  4 Ge 2.71-2.82, 4 Li 2.73-2.81, 3 Zn 2.82
Li (0.3333, 0.6667, 0.4176)  4 Ge 2.71-2.82, 4 Li 2.73-2.81, 3 Zn 2.82
Li (0.6667, 0.3333, 0.5824)  4 Ge 2.71-2.82, 4 Li 2.73-2.81, 3 Zn 2.82
Li (0.6667, 0.3333, 0.9176)  4 Ge 2.71-2.82, 4 Li 2.73-2.81, 3 Zn 2.82
Zn (0.0000, 0.0000, 0.2500)  3 Ge 2.47
Zn (0.0000, 0.0000, 0.7500)  3 Ge 2.47
Ge (0.3333, 0.6667, 0.7500)  3 Zn 2.47, 2 Li 2.71
Ge (0.6667, 0.3333, 0.2500)  3 Zn 2.47, 2 Li 2.71


Compound: BaErHg2
Source: OQMD
Functional: PBE
Structure: optimized geometry

The calculation puts the raw total energy at -7.7 eV/f.u. The calculation puts the theoretical density at 9.96 g/cm3. As for the calculated volume: 29.429 Å³/atom.

Cell lengths 8.8541, 4.7525, 5.5951 Å; angles 90.00, 90.00, 90.00 degrees
With the nearest neighbours (Å) after each atom.
Sites, in units of the cell vectors:
Ba (0.0000, 0.0000, 0.0000)  4 Hg 3.25, 4 Er 3.57
Ba (0.5000, 0.0000, 0.0000)  4 Hg 3.25, 4 Er 3.57
Er (0.2500, 0.0000, 0.4997)  4 Hg 3.25, 4 Ba 3.57
Er (0.7500, 0.0000, 0.5003)  4 Hg 3.25, 4 Ba 3.57
Hg (0.0000, 0.5000, 0.5000)  4 Er 3.25, 4 Hg 3.55-3.58
Hg (0.2500, 0.5000, 0.0034)  4 Ba 3.25, 4 Hg 3.55-3.58
Hg (0.5000, 0.5000, 0.5000)  4 Er 3.25, 4 Hg 3.55-3.58
Hg (0.7500, 0.5000, 0.9966)  4 Ba 3.25, 4 Hg 3.55-3.58


What is the theoretical density in the third record?
3.92 g/cm3